Record 1
{"formula": "Th3Si6Pd2Au", "functional": "PBE", "state": "relaxed", "cell": [[5.899, 0.000, 0.000], [-2.949, 5.108, 0.000], [0.000, 0.000, 8.110]], "species": ["Th", "Th", "Th", "Si", "Si", "Si", "Si", "Si", "Si", "Pd", "Pd", "Au"], "fractional_positions": [[0.000, 0.000, 0.000], [0.333, 0.667, 0.630], [0.667, 0.333, 0.370], [0.195, 0.390, 0.280], [0.195, 0.805, 0.280], [0.390, 0.195, 0.720], [0.610, 0.805, 0.280], [0.805, 0.195, 0.720], [0.805, 0.610, 0.720], [0.333, 0.667, 0.020], [0.667, 0.333, 0.980], [0.000, 0.000, 0.500]], "dos_at_fermi_per_ev_cell": 6.7, "spacegroup": "No. 164", "total_energy_ev_per_atom": -6.11, "formation_energy_uncorrected_mev_per_atom": -407.7}

Record 2
{"formula": "Y2SiPd2Au4", "functional": "PBE", "state": "relaxed", "cell": [[-3.191, 3.191, 4.366], [3.191, -3.191, 4.366], [3.191, 3.191, -4.366]], "species": ["Y", "Y", "Si", "Pd", "Pd", "Au", "Au", "Au", "Au"], "fractional_positions": [[0.250, 0.750, 0.500], [0.750, 0.250, 0.500], [0.000, 0.000, 0.000], [0.268, 0.268, 0.000], [0.732, 0.732, 0.000], [0.273, 0.273, 0.545], [0.273, 0.727, 0.000], [0.727, 0.273, 0.000], [0.727, 0.727, 0.455]], "dos_at_fermi_per_ev_cell": 5.1, "spacegroup": "No. 139", "total_energy_ev_per_atom": -5.27, "formation_energy_uncorrected_mev_per_atom": -622.6}